# CdNi2P PBE relaxed
data_CdNi2P
_space_group_name_H-M_alt 'P 1'
_space_group_IT_number 1
_cell_length_a 3.691
_cell_length_b 3.691
_cell_length_c 5.543
_cell_angle_alpha 70.30
_cell_angle_beta 70.30
_cell_angle_gamma 59.95
loop_
_space_group_symop_operation_xyz
'x,y,z'
loop_
_atom_site_label
_atom_site_type_symbol
_atom_site_fract_x
_atom_site_fract_y
_atom_site_fract_z
Ni1 Ni 0.203 0.203 0.391
Ni2 Ni 0.963 0.963 0.114
P1 P 0.580 0.580 0.261
Cd1 Cd 0.754 0.754 0.734
# Mass density   7.2 g/cm3
# Formation enthalpy at 0 K   -77.3 kJ/mol of formula units
# Symmetry   Cm
# Crystal system   monoclinic
# E_tot   -18.7 eV per cell

# Cd2Ni12P7 PBE relaxed
data_Cd2Ni12P7
_space_group_name_H-M_alt 'P 1'
_space_group_IT_number 1
_cell_length_a 3.542
_cell_length_b 9.256
_cell_length_c 9.256
_cell_angle_alpha 120.00
_cell_angle_beta 90.00
_cell_angle_gamma 90.00
loop_
_space_group_symop_operation_xyz
'x,y,z'
loop_
_atom_site_label
_atom_site_type_symbol
_atom_site_fract_x
_atom_site_fract_y
_atom_site_fract_z
P1 P 0.751 0.106 0.704
Ni1 Ni 0.751 0.881 0.744
P2 P 0.500 0.000 0.000
Cd1 Cd 0.253 0.333 0.667
P3 P 0.249 0.704 0.597
Ni2 Ni 0.751 0.864 0.119
Ni3 Ni 0.248 0.628 0.071
Ni4 Ni 0.249 0.119 0.256
Ni5 Ni 0.249 0.136 0.881
P4 P 0.249 0.403 0.106
Ni6 Ni 0.752 0.557 0.628
P5 P 0.249 0.894 0.296
Ni7 Ni 0.752 0.372 0.929
P6 P 0.751 0.597 0.894
Ni8 Ni 0.249 0.744 0.864
Cd2 Cd 0.747 0.667 0.333
Ni9 Ni 0.751 0.256 0.136
P7 P 0.751 0.296 0.403
Ni10 Ni 0.248 0.443 0.372
Ni11 Ni 0.752 0.071 0.443
Ni12 Ni 0.248 0.929 0.557
# Mass density   7.2 g/cm3
# Formation enthalpy at 0 K   -761.2 kJ/mol of formula units
# Symmetry   P-3
# Crystal system   trigonal
# E_tot   -117.0 eV per cell

# CdNi2P PBE relaxed
data_CdNi2P
_space_group_name_H-M_alt 'P 1'
_space_group_IT_number 1
_cell_length_a 4.155
_cell_length_b 4.155
_cell_length_c 3.134
_cell_angle_alpha 90.00
_cell_angle_beta 90.00
_cell_angle_gamma 90.00
loop_
_space_group_symop_operation_xyz
'x,y,z'
loop_
_atom_site_label
_atom_site_type_symbol
_atom_site_fract_x
_atom_site_fract_y
_atom_site_fract_z
P1 P 0.500 0.500 0.500
Ni1 Ni 0.500 0.000 0.000
Cd1 Cd 0.000 0.000 0.500
Ni2 Ni 0.000 0.500 0.000
# Mass density   8.0 g/cm3
# Formation enthalpy at 0 K   38.1 kJ/mol of formula units
# Symmetry   P4/mmm
# Crystal system   tetragonal
# E_tot   -17.5 eV per cell